First-principles (PBE) data for a relaxed CePuNp crystal, as listed in Alexandria via LeMat-Bulk.

The value obtained for the total energy is -32.3 eV per cell. The magnetization comes out at 1.486 μB/f.u. Its offset from the most stable computed form is 54 meV/atom. The density of states at the Fermi level is 10.046 states/eV/cell. The formation energy comes out at 0.93 eV/f.u.

The space group is P-6m2 (No. 187) and the conventional cell measures 5.1322, 5.1322 and 3.0231 Å, with angles of 90.00, 90.00 and 120.00 degrees. The distinct sites, in fractional coordinates, are Ce at (0.0000, 0.0000, 0.0000), Pu at (0.3333, 0.6667, 0.5000) and Np at (0.6667, 0.3333, 0.5000).

First-principles (PBE) data for a relaxed Ac2GdPb crystal, as listed in Alexandria via LeMat-Bulk.

The value obtained for the total energy is -76.8 eV per cell. The magnetization comes out at 7.862 μB/f.u. Its offset from the most stable computed form is 357 meV/atom. The density of states at the Fermi level is 23.195 states/eV/cell. The formation energy comes out at 0.40 eV/f.u.

The space group is R-3m (No. 166, hexagonal axes) and the conventional cell measures 3.7275, 3.7275 and 38.3765 Å, with angles of 90.00, 90.00 and 120.00 degrees. The distinct sites, in fractional coordinates, are Ac at (0.0000, 0.0000, 0.0915), Gd at (0.0000, 0.0000, 0.0000) and Pb at (0.0000, 0.0000, 0.5000).